[1]
Density functional theory data (PBEsol) for a relaxed structure of MgZrIn2.

Results
energy of formation: -0.270 eV per atom

Cell lengths 3.1414, 5.3699, 5.3699 Å; angles 108.76, 90.00, 90.00 degrees
With the nearest neighbours (Å) after each atom.
Fractional coordinates of all 4 atoms:
In  0.0000  0.5000  0.0000  4 Mg 3.11, 4 Zr 3.11, 4 In 3.13-3.14
In  0.0000  0.0000  0.5000  4 Zr 3.11, 4 Mg 3.11, 4 In 3.13-3.14
Zr  0.5000  0.0000  0.0000  8 In 3.11, 2 Mg 3.13, 2 Zr 3.14
Mg  0.5000  0.5000  0.5000  8 In 3.11, 2 Zr 3.13, 2 Mg 3.14



[2]
Density functional theory data (PBEsol) for a relaxed structure of MgZrIn.

Results
energy of formation: -0.188 eV per atom

Cell lengths 3.2437, 4.7602, 4.7602 Å; angles 120.00, 90.00, 90.00 degrees
With the nearest neighbours (Å) after each atom.
Fractional coordinates of all 3 atoms:
Mg  0.0000  0.6667  0.3333  3 In 2.75
Zr  0.5000  0.3333  0.6667  6 In 3.19, 6 Mg 3.19, 2 Zr 3.24
In  0.0000  0.0000  0.0000  3 Mg 2.75



[3]
Density functional theory data (PBEsol) for a relaxed structure of MgZr4In.

Results
energy of formation: 0.174 eV per atom

Cell lengths 5.7413, 5.7413, 5.7413 Å; angles 60.00, 60.00, 60.00 degrees
With the nearest neighbours (Å) after each atom.
Fractional coordinates of all 6 atoms:
Mg  0.0000  0.0000  0.0000  12 Zr 3.36, 4 In 3.52
In  0.7500  0.7500  0.7500  12 Zr 3.37, 4 Mg 3.52
Zr  0.3744  0.3744  0.8767  6 Zr 2.86-2.88
Zr  0.3744  0.8767  0.3744  6 Zr 2.86-2.88
Zr  0.8767  0.3744  0.3744  6 Zr 2.86-2.88
Zr  0.3744  0.3744  0.3744  6 Zr 2.86-2.88



[4]
Density functional theory data (PBEsol) for a relaxed structure of Mg2ZrIn.

Results
energy of formation: -0.229 eV per atom

Cell lengths 4.3186, 4.3186, 4.4943 Å; angles 90.00, 90.00, 90.00 degrees
With the nearest neighbours (Å) after each atom.
Fractional coordinates of all 4 atoms:
In  0.0000  0.0000  0.5000  4 Zr 3.05, 8 Mg 3.12
Zr  0.5000  0.5000  0.5000  4 In 3.05, 8 Mg 3.12
Mg  0.5000  0.0000  0.0000  4 Mg 3.05, 4 Zr 3.12, 4 In 3.12
Mg  0.0000  0.5000  0.0000  4 Mg 3.05, 4 Zr 3.12, 4 In 3.12



[5]
Density functional theory data (PBEsol) for a relaxed structure of MgZrIn2.

Results
energy of formation: -0.070 eV per atom

Cell lengths 3.7989, 3.7989, 6.1914 Å; angles 90.00, 90.00, 90.00 degrees
With the nearest neighbours (Å) after each atom.
Fractional coordinates of all 4 atoms:
In  0.0000  0.0000  0.9888  4 Zr 3.05, 2 Mg 3.05-3.14, 4 In 3.17
In  0.5000  0.5000  0.2596  4 Mg 3.06, 2 Zr 3.07-3.12, 4 In 3.17
Zr  0.5000  0.5000  0.7555  6 In 3.05-3.12, 4 Mg 3.13
Mg  0.0000  0.0000  0.4961  6 In 3.05-3.14, 4 Zr 3.13



[6]
Density functional theory data (PBEsol) for a relaxed structure of MgZrIn4.

Results
energy of formation: 0.081 eV per atom

Cell lengths 5.8095, 5.8095, 5.8095 Å; angles 60.00, 60.00, 60.00 degrees
With the nearest neighbours (Å) after each atom.
Fractional coordinates of all 6 atoms:
In  0.3750  0.8751  0.3750  6 In 2.90-2.91
In  0.8751  0.3750  0.3750  6 In 2.90-2.91
In  0.3750  0.3750  0.8751  6 In 2.90-2.91
In  0.3750  0.3750  0.3750  6 In 2.90-2.91
Mg  0.7500  0.7500  0.7500  12 In 3.41, 4 Zr 3.56
Zr  0.0000  0.0000  0.0000  12 In 3.41, 4 Mg 3.56



[7]
Density functional theory data (PBEsol) for a relaxed structure of Mg2ZrIn.

Results
energy of formation: -0.054 eV per atom

Cell lengths 4.4244, 4.4244, 5.3624 Å; angles 114.36, 114.36, 90.00 degrees
With the nearest neighbours (Å) after each atom.
Fractional coordinates of all 4 atoms:
Mg  0.0000  0.0000  0.0000  4 In 3.10, 4 Mg 3.10, 4 Zr 3.13
Mg  0.7500  0.2500  0.5000  4 Zr 3.10, 4 Mg 3.10, 4 In 3.13
Zr  0.5000  0.5000  0.0000  4 In 3.10, 8 Mg 3.10-3.13
In  0.2500  0.7500  0.5000  4 Zr 3.10, 8 Mg 3.10-3.13



[8]
Density functional theory data (PBEsol) for a relaxed structure of MgZrIn2.

Results
energy of formation: -0.334 eV per atom

Cell lengths 4.2781, 4.4230, 4.4230 Å; angles 90.00, 90.00, 90.00 degrees
With the nearest neighbours (Å) after each atom.
Fractional coordinates of all 4 atoms:
Zr  0.5000  0.0000  0.0000  8 In 3.08, 4 Mg 3.13
In  0.0000  0.5000  0.0000  4 Mg 3.08, 4 Zr 3.08, 4 In 3.13
In  0.0000  0.0000  0.5000  4 Mg 3.08, 4 Zr 3.08, 4 In 3.13
Mg  0.5000  0.5000  0.5000  8 In 3.08, 4 Zr 3.13



[9]
Density functional theory data (PBEsol) for a relaxed structure of Mn3In.

Results
energy of formation: 0.249 eV per atom

Cell lengths 2.7192, 2.7192, 7.1477 Å; angles 90.00, 90.00, 90.00 degrees
With the nearest neighbours (Å) after each atom.
Fractional coordinates of all 4 atoms:
Mn  0.0000  0.0000  0.5000  12 Mn 2.44-2.72
Mn  0.5000  0.5000  0.7096  8 Mn 2.44-2.72
Mn  0.5000  0.5000  0.2904  8 Mn 2.44-2.72
In  0.0000  0.0000  0.0000  4 In 2.72, 8 Mn 2.83



[10]
Density functional theory data (PBEsol) for a relaxed structure of Mn3In2.

Results
energy of formation: 0.495 eV per atom

Cell lengths 2.8851, 2.8851, 10.7108 Å; angles 82.26, 82.26, 60.00 degrees
With the nearest neighbours (Å) after each atom.
Fractional coordinates of all 5 atoms:
Mn  0.8093  0.8093  0.5720  3 Mn 2.26
Mn  0.0000  0.0000  0.0000  6 In 2.81, 6 Mn 2.89
Mn  0.1907  0.1907  0.4280  3 Mn 2.26
In  0.5954  0.5954  0.2137  6 Mn 2.81, 6 In 2.89
In  0.4046  0.4046  0.7863  6 Mn 2.81, 6 In 2.89



[11]
Density functional theory data (PBEsol) for a relaxed structure of Mn3In.

Results
energy of formation: 0.392 eV per atom

Cell lengths 2.7378, 4.3086, 4.6697 Å; angles 90.00, 90.00, 90.00 degrees
With the nearest neighbours (Å) after each atom.
Fractional coordinates of all 4 atoms:
Mn  0.0000  0.5000  0.3648  8 Mn 2.48-2.74, 2 In 2.76
Mn  0.5000  0.5000  0.8075  6 Mn 2.48-2.74, 4 In 2.70
Mn  0.5000  0.0000  0.4973  8 Mn 2.60-2.74, 4 In 2.71
In  0.0000  0.0000  0.9970  10 Mn 2.70-2.76, 2 In 2.74



[12]
Density functional theory data (PBEsol) for a relaxed structure of MnIn3.

Results
energy of formation: 0.272 eV per atom

Cell lengths 3.2189, 5.2832, 5.2832 Å; angles 110.66, 90.00, 90.00 degrees
With the nearest neighbours (Å) after each atom.
Fractional coordinates of all 4 atoms:
Mn  0.0000  0.0000  0.0000  10 In 3.01-3.09, 2 Mn 3.22
In  0.0000  0.5000  0.5000  2 Mn 3.01, 10 In 3.09-3.22
In  0.5000  0.0000  0.5000  8 In 3.01-3.22, 4 Mn 3.09
In  0.5000  0.5000  0.0000  8 In 3.01-3.22, 4 Mn 3.09



[13]
Density functional theory data (PBEsol) for a relaxed structure of MnIn3.

Results
energy of formation: 0.254 eV per atom

Cell lengths 4.2524, 4.2524, 5.4528 Å; angles 112.95, 112.95, 90.00 degrees
With the nearest neighbours (Å) after each atom.
Fractional coordinates of all 4 atoms:
In  0.2500  0.7500  0.5000  8 In 3.01-3.11, 4 Mn 3.11
In  0.7500  0.2500  0.5000  8 In 3.01-3.11, 4 Mn 3.11
In  0.5000  0.5000  0.0000  4 Mn 3.01, 8 In 3.11
Mn  0.0000  0.0000  0.0000  12 In 3.01-3.11



[14]
Density functional theory data (PBEsol) for a relaxed structure of Mn3In2.

Results
energy of formation: 0.672 eV per atom

Cell lengths 4.4117, 4.4117, 5.4724 Å; angles 90.00, 90.00, 120.00 degrees
With the nearest neighbours (Å) after each atom.
Fractional coordinates of all 5 atoms:
Mn  0.3333  0.6667  0.3375  5 In 2.62-2.85
Mn  0.6667  0.3333  0.6625  5 In 2.62-2.85
Mn  0.0000  0.0000  0.0000  6 In 2.74
In  0.6667  0.3333  0.1828  8 Mn 2.62-2.85
In  0.3333  0.6667  0.8172  8 Mn 2.62-2.85